A.
A relaxed Cd2AgF4 crystal, computed with PBE-GGA.

Values from the calculation:
- Volume: 254 Å³ per cell

Unit cell a=7.0803 b=7.0809 c=7.1073 alpha=119.71 beta=119.81 gamma=90.10
Last column: nearest neighbours and their distance in Å.
Space group P-1 (No. 2)
One atom of each set of equivalent atoms:
1 Cd 0.0000 0.0000 0.0000 [1 per cell]  6 F 2.36
2 Cd 0.0000 0.0000 0.5000 [1 per cell]  6 F 2.36
3 Cd 0.0000 0.5000 0.0000 [1 per cell]  6 F 2.35-2.36
4 Cd 0.5000 0.0000 0.5000 [1 per cell]  6 F 2.35-2.36
5 Ag 0.3743 0.6247 0.7499 [2 per cell]  4 F 2.46-2.47
6 F 0.2001 0.2328 0.9643 [2 per cell]  3 Cd 2.35-2.36, 1 Ag 2.47
7 F 0.2318 0.7639 0.4639 [2 per cell]  3 Cd 2.36, 1 Ag 2.46
8 F 0.2327 0.2000 0.4642 [2 per cell]  3 Cd 2.35-2.36, 1 Ag 2.47
9 F 0.2361 0.7683 0.0362 [2 per cell]  3 Cd 2.35-2.36, 1 Ag 2.46

B.
A relaxed Cd2AgF4 crystal, computed with PBE-GGA.

Values from the calculation:
- Volume: 254 Å³ per cell

Unit cell a=4.6450 b=4.6450 c=11.7798 alpha=90.00 beta=90.00 gamma=90.00
Last column: nearest neighbours and their distance in Å.
Space group I4/mmm (No. 139)
One atom of each set of equivalent atoms:
1 Cd 0.0000 0.0000 0.1173 [4 per cell]  1 F 2.08
2 Ag 0.0000 0.0000 0.5000 [2 per cell]  6 F 2.32-2.43
3 F 0.0000 0.0000 0.2936 [4 per cell]  1 Cd 2.08
4 F 0.0000 0.5000 0.0000 [4 per cell]  2 Ag 2.32

Result of the stability comparison: B is the least stable of them.

A.
A relaxed Cd2AgF crystal, computed with PBE-GGA.

Values from the calculation:
- Volume: 308 Å³ per cell

Unit cell a=7.1007 b=7.1007 c=6.1153 alpha=90.00 beta=90.00 gamma=90.00
Last column: nearest neighbours and their distance in Å.
Space group I-42d (No. 122)
One atom of each set of equivalent atoms:
1 Cd 0.2073 0.2500 0.1250 [8 per cell]  2 F 2.43
2 Ag 0.0000 0.0000 0.5000 [4 per cell]  4 Cd 2.84, 2 F 3.06
3 F 0.0000 0.0000 0.0000 [4 per cell]  4 Cd 2.43

B.
A relaxed Cd2AgF crystal, computed with PBE-GGA.

Values from the calculation:
- Volume: 219 Å³ per cell

Unit cell a=3.2083 b=3.2083 c=24.5343 alpha=90.00 beta=90.00 gamma=120.00
Last column: nearest neighbours and their distance in Å.
Space group R-3m (No. 166, hexagonal axes)
One atom of each set of equivalent atoms:
1 Cd 0.0000 0.0000 0.2408 [6 per cell]  3 F 2.60
2 Ag 0.0000 0.0000 0.0000 [3 per cell]  6 Cd 2.93, 6 Ag 3.21
3 F 0.0000 0.0000 0.5000 [3 per cell]  6 Cd 2.60

C.
A relaxed Cd2AgF crystal, computed with PBE-GGA.

Values from the calculation:
- Volume: 301 Å³ per cell

Unit cell a=6.7053 b=6.7053 c=6.7053 alpha=90.00 beta=90.00 gamma=90.00
Last column: nearest neighbours and their distance in Å.
Space group Fm-3m (No. 225)
One atom of each set of equivalent atoms:
1 Cd 0.2500 0.2500 0.2500 [8 per cell]  4 F 2.90, 4 Ag 2.90
2 Ag 0.0000 0.0000 0.0000 [4 per cell]  8 Cd 2.90
3 F 0.0000 0.0000 0.5000 [4 per cell]  8 Cd 2.90

Result of the stability comparison: C is the least stable of them.

A.
A relaxed Cd3Ag5F12 crystal, computed with PBE-GGA.

Values from the calculation:
- Volume: 2544 Å³ per cell

Unit cell a=13.6513 b=13.6513 c=13.6513 alpha=90.00 beta=90.00 gamma=90.00
Last column: nearest neighbours and their distance in Å.
Space group Ia-3d (No. 230)
One atom of each set of equivalent atoms:
1 Cd 0.0000 0.2500 0.1250 [24 per cell]  4 F 2.31
2 Ag 0.0000 0.0000 0.0000 [16 per cell]  6 F 2.35
3 Ag 0.0000 0.2500 0.3750 [24 per cell]  4 F 2.30
4 F 0.0200 0.0840 0.6487 [96 per cell]  2 Ag 2.30-2.35, 1 Cd 2.31

B.
A relaxed Cd3Ag5F12 crystal, computed with PBE-GGA.

Values from the calculation:
- Volume: 304 Å³ per cell

Unit cell a=9.9406 b=9.9406 c=3.5512 alpha=90.00 beta=90.00 gamma=120.00
Last column: nearest neighbours and their distance in Å.
Space group P-62m (No. 189)
One atom of each set of equivalent atoms:
1 Cd 0.0000 0.3470 0.0000 [3 per cell]  6 F 2.22-2.36
2 Ag 0.0000 0.7263 0.5000 [3 per cell]  7 F 2.42-2.60
3 Ag 0.3333 0.6667 0.5000 [2 per cell]  6 F 2.56
4 F 0.0000 0.1908 0.5000 [3 per cell]  2 Cd 2.36, 2 Ag 2.42
5 F 0.0000 0.4823 0.5000 [3 per cell]  2 Cd 2.23, 1 Ag 2.42
6 F 0.1987 0.7428 0.0000 [6 per cell]  1 Cd 2.22

Result of the stability comparison: A is the least stable of them.

A.
A relaxed CdAg2F6 crystal, computed with PBE-GGA.

Values from the calculation:
- Volume: 300 Å³ per cell

Unit cell a=12.7931 b=4.1441 c=5.7779 alpha=90.00 beta=101.22 gamma=90.00
Last column: nearest neighbours and their distance in Å.
Space group C2/m (No. 12)
One atom of each set of equivalent atoms:
1 Cd 0.0000 0.0000 0.0000 [2 per cell]  2 F 2.18
2 Ag 0.1977 0.5000 0.7479 [4 per cell]  4 F 2.08-2.09
3 F 0.0435 0.5000 0.8152 [4 per cell]  1 Ag 2.08
4 F 0.1414 0.0000 0.2790 [4 per cell]  1 Ag 2.09, 1 Cd 2.18
5 F 0.1958 0.0000 0.7807 [4 per cell]  2 Ag 2.08

B.
A relaxed CdAg2F6 crystal, computed with PBE-GGA.

Values from the calculation:
- Volume: 299 Å³ per cell

Unit cell a=11.6642 b=4.1331 c=7.2691 alpha=90.00 beta=121.49 gamma=90.00
Last column: nearest neighbours and their distance in Å.
Space group C2/m (No. 12)
One atom of each set of equivalent atoms:
1 Cd 0.0000 0.0000 0.0000 [2 per cell]  2 F 2.18
2 Ag 0.1853 0.0000 0.6303 [4 per cell]  4 F 2.07-2.14
3 F 0.0128 0.0000 0.3095 [4 per cell]  1 Ag 2.14, 1 Cd 2.18
4 F 0.1287 0.5000 0.0762 [4 per cell]  1 Ag 2.10
5 F 0.2010 0.5000 0.6360 [4 per cell]  2 Ag 2.07

Result of the stability comparison: A is the least stable of them.